! CaCoAsBr2 | Alexandria | PBEsol | relaxed; values from VASP
&SYSTEM
  ibrav = 0, nat = 5, ntyp = 4
/
ATOMIC_SPECIES
Ca 40.08 Ca.upf
Co 58.93 Co.upf
As 74.92 As.upf
Br 79.90 Br.upf
CELL_PARAMETERS angstrom
4.963 0.000 0.000
0.000 4.963 0.000
0.000 0.000 4.510
ATOMIC_POSITIONS crystal
Ca 0.000 0.000 0.000
Co 0.500 0.500 0.500
As 0.500 0.500 0.000
Br 0.000 0.500 0.500
Br 0.500 0.000 0.500
! **Magnetic moment**: 0.004 μB per formula unit
! **Energy**: -4.208 eV per atom
! **E_form (uncorrected)**: -45 kJ/mol of atoms


! CaAs2BrF | Alexandria | PBEsol | relaxed; values from VASP
&SYSTEM
  ibrav = 0, nat = 5, ntyp = 4
/
ATOMIC_SPECIES
Ca 40.08 Ca.upf
As 74.92 As.upf
Br 79.90 Br.upf
F 19.00 F.upf
CELL_PARAMETERS angstrom
5.477 0.000 0.000
0.000 5.477 0.000
0.000 0.000 5.273
ATOMIC_POSITIONS crystal
Ca 0.000 0.000 0.000
As 0.000 0.500 0.000
As 0.500 0.000 0.000
Br 0.000 0.000 0.500
F 0.500 0.500 0.500
! **Magnetic moment**: 0.954 μB per formula unit
! **Energy**: -2.921 eV per atom
! **E_form (uncorrected)**: 30 kJ/mol of atoms


! CaAs2HBr | Alexandria | PBEsol | relaxed; values from VASP
&SYSTEM
  ibrav = 0, nat = 5, ntyp = 4
/
ATOMIC_SPECIES
Ca 40.08 Ca.upf
As 74.92 As.upf
H 1.01 H.upf
Br 79.90 Br.upf
CELL_PARAMETERS angstrom
4.001 0.000 0.000
0.000 4.001 0.000
0.000 0.000 6.020
ATOMIC_POSITIONS crystal
Ca 0.000 0.000 0.000
As 0.000 0.500 0.500
As 0.500 0.000 0.500
H 0.500 0.500 0.500
Br 0.500 0.500 0.000
! **Magnetic moment**: 0.000 μB per formula unit
! **Energy**: -3.871 eV per atom